(1)
Computed, not measured: a geometry-optimized ZnIn3As structure at the PBE level of DFT.

Summary:
M_tot   0.000 μB per formula unit
DOS(E_F)   0.49 states/eV/atom
ΔH_f (0 K)   0.369 eV/atom
Crystal system   cubic

The structure in CIF format:
```
data_ZnIn3As
_chemical_formula_sum 'Zn1 In3 As1'
_symmetry_space_group_name_H-M 'P m -3 m'
_symmetry_Int_Tables_number 221
_symmetry_space_group_name_Hall '-P 4 2 3'
_cell_length_a 5.1573
_cell_length_b 5.1573
_cell_length_c 5.1573
_cell_angle_alpha 90.00
_cell_angle_beta 90.00
_cell_angle_gamma 90.00
loop_
_atom_site_label
_atom_site_fract_x
_atom_site_fract_y
_atom_site_fract_z
Zn1 0.0000 0.0000 0.0000
In1 0.0000 0.0000 0.5000
As1 0.5000 0.5000 0.5000
```

=====

(2)
Computed, not measured: a geometry-optimized ZnInAs structure at the PBE level of DFT.

Summary:
M_tot   0.000 μB per formula unit
ΔH_f (0 K)   0.187 eV/atom
Crystal system   cubic

The structure in CIF format:
```
data_ZnInAs
_chemical_formula_sum 'Zn4 In4 As4'
_symmetry_space_group_name_H-M 'F -4 3 m'
_symmetry_Int_Tables_number 216
_symmetry_space_group_name_Hall 'F -4 2 3'
_cell_length_a 6.6185
_cell_length_b 6.6185
_cell_length_c 6.6185
_cell_angle_alpha 90.00
_cell_angle_beta 90.00
_cell_angle_gamma 90.00
loop_
_atom_site_label
_atom_site_fract_x
_atom_site_fract_y
_atom_site_fract_z
Zn1 0.0000 0.0000 0.0000
In1 0.2500 0.2500 0.2500
As1 0.0000 0.0000 0.5000
```

=====

(3)
Computed, not measured: a geometry-optimized Zn2InAs2 structure at the PBE level of DFT.

Summary:
M_tot   0.000 μB per formula unit
DOS(E_F)   0.34 states/eV/atom
ΔH_f (0 K)   -0.029 eV/atom
Crystal system   tetragonal

The structure in CIF format:
```
data_Zn2InAs2
_chemical_formula_sum 'Zn4 In2 As4'
_symmetry_space_group_name_H-M 'I 4/m m m'
_symmetry_Int_Tables_number 139
_symmetry_space_group_name_Hall '-I 4 2'
_cell_length_a 3.9261
_cell_length_b 3.9261
_cell_length_c 14.3011
_cell_angle_alpha 90.00
_cell_angle_beta 90.00
_cell_angle_gamma 90.00
loop_
_atom_site_label
_atom_site_fract_x
_atom_site_fract_y
_atom_site_fract_z
Zn1 0.0000 0.5000 0.2500
In1 0.0000 0.0000 0.0000
As1 0.0000 0.0000 0.3665
```

=====

(4)
Computed, not measured: a geometry-optimized Zn2InAs2 structure at the PBE level of DFT.

Summary:
M_tot   0.000 μB per formula unit
DOS(E_F)   0.51 states/eV/atom
ΔH_f (0 K)   0.122 eV/atom
Crystal system   tetragonal

The structure in CIF format:
```
data_Zn2InAs2
_chemical_formula_sum 'Zn4 In2 As4'
_symmetry_space_group_name_H-M 'P 4/m b m'
_symmetry_Int_Tables_number 127
_symmetry_space_group_name_Hall '-P 4 2ab'
_cell_length_a 7.9672
_cell_length_b 7.9672
_cell_length_c 3.1257
_cell_angle_alpha 90.00
_cell_angle_beta 90.00
_cell_angle_gamma 90.00
loop_
_atom_site_label
_atom_site_fract_x
_atom_site_fract_y
_atom_site_fract_z
Zn1 0.1317 0.3683 0.0000
In1 0.0000 0.0000 0.5000
As1 0.1653 0.6653 0.5000
```

=====

The evaluated total energy for the records listed, in turn: -2.46 -2.70 -2.95 -2.80 eV per atom.